No. 1
# NiAsPSe2

A relaxed structure of NiAsPSe2 (GGA-PBE, the Alexandria database).

Cell and atoms, written as extended XYZ:
```
5
Lattice="4.844 0.000 0.000 0.000 4.844 0.000 0.000 0.000 4.614" Properties=species:S:1:pos:R:3 pbc="T T T"
Se 2.422 0.000 0.000
Se 0.000 2.422 0.000
As 0.000 0.000 2.307
Ni 2.422 2.422 2.307
P 0.000 0.000 0.000
```

- N(E_F) (states/eV per cell) = 6.3
- SG = No. 123
- total moment (μB/cell) = 1.1
- formation energy from raw total energies (meV/atom) = 928



No. 2
# Cs2ErSO6

A relaxed structure of Cs2ErSO6 (GGA-PBE, the Alexandria database).

Cell and atoms, written as extended XYZ:
```
10
Lattice="-4.001 2.783 2.608 -3.861 -0.484 -5.408 -0.230 -4.725 4.691" Properties=species:S:1:pos:R:3 pbc="T T T"
Er -2.001 1.392 1.304
O -3.947 -1.935 5.623
O -4.145 -0.491 -3.733
O -4.293 -3.522 -0.724
O -1.669 -0.181 -0.264
O -3.799 1.096 2.614
O -6.423 -2.245 2.154
S 0.000 0.000 0.000
Cs -6.079 0.487 0.193
Cs -2.013 -2.913 1.698
```

- N(E_F) (states/eV per cell) = 1.6
- SG = No. 164
- total moment (μB/cell) = 1.0
- formation energy from raw total energies (meV/atom) = -1631



No. 3
# Ga3FePd12

A relaxed structure of Ga3FePd12 (GGA-PBE, the Alexandria database).

Cell and atoms, written as extended XYZ:
```
16
Lattice="3.929 0.000 0.000 0.000 3.929 0.000 0.000 0.000 15.546" Properties=species:S:1:pos:R:3 pbc="T T T"
Pd 1.964 1.964 3.855
Pd 1.964 1.964 0.000
Pd 1.964 0.000 5.814
Pd 1.964 0.000 9.733
Pd 1.964 0.000 1.903
Pd 1.964 1.964 11.691
Pd 1.964 1.964 7.773
Pd 0.000 1.964 5.814
Pd 0.000 1.964 9.733
Pd 0.000 1.964 1.903
Pd 1.964 0.000 13.643
Pd 0.000 1.964 13.643
Ga 0.000 0.000 11.648
Ga 0.000 0.000 7.773
Ga 0.000 0.000 3.898
Fe 0.000 0.000 0.000
```

- energy of formation (eV/atom) = -0.3617
- N(E_F) (states/eV per cell) = 17.6
- SG = No. 123
- total moment (μB/cell) = 4.3



No. 4
# AcGa2Ir

A relaxed structure of AcGa2Ir (GGA-PBE, the Alexandria database).

Cell and atoms, written as extended XYZ:
```
8
Lattice="-2.264 -1.695 3.769 5.463 -2.236 -0.670 2.507 4.998 3.753" Properties=species:S:1:pos:R:3 pbc="T T T"
Ir 4.458 2.282 3.704
Ir 2.932 -0.762 1.418
Ga 2.031 -3.100 2.771
Ga 5.173 -0.292 2.975
Ga 2.229 3.106 2.736
Ga 1.267 1.188 1.295
Ac 2.369 0.051 4.391
Ac -0.494 -1.302 2.063
```

- energy of formation (eV/atom) = -0.4507
- N(E_F) (states/eV per cell) = 5.5
- SG = No. 38
- total moment (μB/cell) = 0.0



Q: Among the records above, which one has the highest N(E_F)?
A: Ga3FePd12



Q: Which of these has the highest N(E_F)?
A: Ga3FePd12